# 1
{"formula": "SeBr2", "functional": "meta-GGA SCAN", "state": "single point on PBEsol structure", "lattice": [[3.392, 0.000, 0.000], [0.000, 3.987, 0.000], [-1.696, 0.000, 12.175]], "species": ["Se", "Se", "Br", "Br", "Br", "Br"], "fractional_positions": [[0.871, 0.250, 0.741], [0.129, 0.750, 0.259], [0.432, 0.750, 0.864], [0.568, 0.250, 0.136], [0.195, 0.250, 0.390], [0.805, 0.750, 0.610]], "sg": "Cmcm, No. 63", "relative_energy_mev_per_atom": 375, "e_form_raw_ev_per_atom": 0.37}

# 2
{"formula": "Li2TaSi", "functional": "meta-GGA SCAN", "state": "single point on PBEsol structure", "lattice": [[-0.289, -1.314, 2.263], [2.290, -0.721, -1.081], [4.321, 6.896, 4.557]], "species": ["Ta", "Li", "Li", "Si"], "fractional_positions": [[0.500, 0.500, 0.000], [0.000, 0.000, 0.273], [0.000, 0.000, 0.727], [0.500, 0.500, 0.500]], "sg": "Cmmm, No. 65", "e_form_raw_ev_per_atom": 0.18}

# 3
{"formula": "SiAsIr2Ru", "functional": "meta-GGA SCAN", "state": "single point on PBEsol structure", "lattice": [[-2.449, 2.483, 2.866], [-3.306, -3.324, 0.056], [2.142, -2.069, 3.622]], "species": ["Ir", "Ir", "Ru", "Si", "As"], "fractional_positions": [[0.000, 0.500, 0.000], [0.000, 0.000, 0.500], [0.000, 0.000, 0.000], [0.500, 0.500, 0.500], [0.500, 0.000, 0.000]], "sg": "P4/mmm, No. 123", "e_form_raw_ev_per_atom": 1.62}

# 4
{"formula": "TaIr2C", "functional": "meta-GGA SCAN", "state": "single point on PBEsol structure", "lattice": [[-4.572, -0.551, 2.373], [-1.567, -3.198, -3.762], [4.845, -1.970, 3.223]], "species": ["Ir", "C", "Ir", "Ta", "Ta", "Ir", "C", "Ir"], "fractional_positions": [[0.125, 0.212, 0.750], [0.500, 0.500, 0.000], [0.788, 0.375, 0.250], [0.250, 0.750, 0.500], [0.000, 0.000, 0.000], [0.625, 0.538, 0.750], [0.750, 0.250, 0.500], [0.462, 0.875, 0.250]], "sg": "I-42d, No. 122", "formation_energy_kj_per_mol_atoms": 23.2}